Density functional theory data (GGA-PBE) for an optimized crystal structure of RbLiEr2S4.

```
data_RbLiEr2S4
_symmetry_space_group_name_H-M 'C m c m'
_symmetry_Int_Tables_number 63
_symmetry_space_group_name_Hall '-C 2c 2'
_cell_length_a 4.020
_cell_length_b 13.545
_cell_length_c 13.939
_cell_angle_alpha 90.00
_cell_angle_beta 90.00
_cell_angle_gamma 90.00
loop_
_atom_site_label
_atom_site_type_symbol
_atom_site_fract_x
_atom_site_fract_y
_atom_site_fract_z
_atom_site_occupancy
Rb1 Rb 0.000 0.106 0.250 1
Li1 Li 0.000 0.171 0.750 1
Er1 Er 0.000 0.366 0.061 1
S1 S 0.000 0.000 0.000 1
S2 S 0.000 0.260 0.604 1
S3 S 0.000 0.418 0.250 1
```

- Uncorrected formation energy: -14.73 eV per formula unit
- Calculated density: 4858 kg/m³